Density functional theory data (PBE) for crystalline LiTl2InBr5 at its relaxed geometry.

Cell and atoms, written as POSCAR:
```
LiTl2InBr5
1.0
5.112 0.000 0.000
-2.556 9.159 0.000
0.000 0.000 13.283
Br In Tl Li
10 2 4 2
Cartesian
2.556 3.823 10.776 Br
0.000 9.155 10.308 Br
0.000 6.718 0.207 Br
0.000 5.337 4.134 Br
2.556 2.441 6.849 Br
0.000 1.068 0.075 Br
0.000 5.350 8.169 Br
2.556 8.092 6.717 Br
2.556 0.004 3.666 Br
2.556 3.809 1.528 Br
0.000 7.441 5.974 In
2.556 1.719 12.616 In
0.000 1.981 9.026 Tl
2.556 7.110 11.380 Tl
2.556 7.179 2.384 Tl
0.000 2.049 4.738 Tl
0.000 4.598 1.520 Li
2.556 4.562 8.162 Li
```

Results
The value obtained for the uncorrected formation energy is -0.91 eV/atom. The value obtained for the volume is 622.00 Å³/cell.



Density functional theory data (PBE) for crystalline LiTlIn2Br8 at its relaxed geometry.

Cell and atoms, written as POSCAR:
```
LiTlIn2Br8
1.0
-4.391 -2.294 -4.756
1.243 -5.921 -3.250
-6.334 -7.891 4.697
Br In Li Tl
8 2 1 1
Cartesian
-1.934 -8.195 -2.416 Br
-8.406 -13.341 -0.678 Br
-5.120 -7.964 -4.540 Br
-5.987 -7.096 0.796 Br
-1.076 -2.764 -2.631 Br
-7.189 -9.619 -1.831 Br
-4.295 -5.198 -2.013 Br
-3.920 -10.246 0.076 Br
-2.365 -4.021 -0.835 In
-7.117 -12.085 -2.474 In
-4.741 -8.053 -1.655 Li
0.000 0.000 0.000 Tl
```

Results
The value obtained for the uncorrected formation energy is -0.90 eV/atom. The value obtained for the volume is 425.87 Å³/cell.



Density functional theory data (PBE) for crystalline LiTl2InBr4 at its relaxed geometry.

Cell and atoms, written as POSCAR:
```
LiTl2InBr4
1.0
-3.909 -7.388 -3.727
7.904 -4.577 0.587
-3.655 3.879 7.480
In Br Tl Li
2 8 4 2
Cartesian
3.952 -2.289 0.293 In
-1.785 -7.737 0.306 In
0.932 -2.916 -0.608 Br
-0.593 -5.170 4.947 Br
1.701 -1.288 7.127 Br
1.075 -6.965 1.551 Br
-2.377 -4.666 1.248 Br
2.717 -3.420 3.091 Br
-1.361 -6.799 -2.788 Br
-0.735 -1.121 2.788 Br
1.997 -5.983 -1.570 Tl
-1.955 -3.694 -1.864 Tl
-1.827 1.940 3.740 Tl
-3.782 -1.755 1.876 Tl
-7.564 -3.509 3.752 Li
0.170 -4.043 2.169 Li
```

Results
The value obtained for the uncorrected formation energy is -0.92 eV/atom. The value obtained for the volume is 543.42 Å³/cell.



Density functional theory data (PBE) for crystalline LiTmIn2Br6 at its relaxed geometry.

Cell and atoms, written as POSCAR:
```
LiTmIn2Br6
1.0
7.524 0.000 0.005
0.000 7.845 0.000
0.074 0.000 10.733
Br Tm In Li
12 2 4 2
Cartesian
0.705 3.813 8.037 Br
6.893 4.032 2.701 Br
5.290 2.296 5.826 Br
6.046 6.280 5.815 Br
2.308 5.549 4.912 Br
4.430 0.109 2.673 Br
5.351 2.358 10.292 Br
1.491 1.627 0.457 Br
1.552 1.564 4.923 Br
3.168 7.736 8.065 Br
2.247 5.487 0.446 Br
6.108 6.218 10.281 Br
0.000 3.922 0.000 Tm
3.799 0.000 5.369 Tm
7.425 0.594 7.997 In
0.173 7.250 2.741 In
3.626 3.328 2.628 In
3.972 4.517 8.110 In
0.037 3.922 5.366 Li
3.762 0.000 0.002 Li
```

Results
The value obtained for the uncorrected formation energy is -1.31 eV/atom. The value obtained for the volume is 633.53 Å³/cell.



Density functional theory data (PBE) for crystalline LiUInBr6 at its relaxed geometry.

Cell and atoms, written as POSCAR:
```
LiUInBr6
1.0
-4.288 4.687 -3.357
-1.285 -1.784 6.841
8.486 10.952 4.451
Br U Li In
12 2 2 2
Cartesian
1.022 5.010 2.875 Br
0.336 6.924 -0.524 Br
2.576 6.932 8.459 Br
-3.572 5.561 -0.237 Br
-2.043 7.501 2.589 Br
-0.384 3.240 -0.603 Br
-2.355 3.372 2.830 Br
1.890 8.845 5.060 Br
6.484 8.294 8.172 Br
4.955 6.354 5.345 Br
3.296 10.615 8.538 Br
5.267 10.484 5.105 Br
4.078 8.587 6.780 U
-1.166 5.268 1.155 U
3.077 10.744 3.381 Li
-0.165 3.111 4.554 Li
0.000 0.000 0.000 In
4.243 5.476 2.226 In
```

Results
The value obtained for the uncorrected formation energy is -1.22 eV/atom. The value obtained for the volume is 650.69 Å³/cell.



Density functional theory data (PBE) for crystalline LiYIn2Br6 at its relaxed geometry.

Cell and atoms, written as POSCAR:
```
LiYIn2Br6
1.0
7.548 0.000 0.008
0.000 7.893 0.000
0.079 0.000 10.781
Li Br In Y
2 12 4 2
Cartesian
0.039 3.946 5.391 Li
3.774 0.000 0.004 Li
5.344 2.371 10.319 Br
2.317 5.556 4.913 Br
1.530 1.575 4.925 Br
1.496 1.610 0.482 Br
3.150 7.769 8.123 Br
6.885 4.070 2.736 Br
0.742 3.822 8.053 Br
5.310 2.336 5.876 Br
4.477 0.124 2.667 Br
6.097 6.317 5.865 Br
2.283 5.522 0.470 Br
6.131 6.282 10.308 Br
7.445 0.613 8.032 In
3.995 4.559 8.152 In
0.182 7.280 2.757 In
3.632 3.334 2.637 In
3.814 0.000 5.395 Y
0.000 3.946 0.000 Y
```

Results
The value obtained for the uncorrected formation energy is -1.32 eV/atom. The value obtained for the volume is 642.31 Å³/cell.



Density functional theory data (PBE) for crystalline LiZnInBr4 at its relaxed geometry.

Cell and atoms, written as POSCAR:
```
LiZnInBr4
1.0
6.489 0.000 0.188
0.000 8.453 0.000
-2.326 0.000 8.448
Br In Zn Li
8 2 2 2
Cartesian
5.603 4.477 2.446 Br
2.132 2.113 4.018 Br
-1.440 0.250 6.190 Br
-1.440 3.976 6.190 Br
5.603 8.203 2.446 Br
1.895 2.113 7.878 Br
2.267 6.340 0.758 Br
2.031 6.340 4.618 Br
3.270 6.340 7.879 In
0.893 2.113 0.757 In
0.670 6.340 2.640 Zn
3.492 2.113 5.996 Zn
3.823 6.340 2.830 Li
0.340 2.113 5.806 Li
```

Results
The value obtained for the uncorrected formation energy is -0.98 eV/atom. The value obtained for the volume is 467.09 Å³/cell.



Density functional theory data (PBE) for crystalline LuInBr2 at its relaxed geometry.

Cell and atoms, written as POSCAR:
```
LuInBr2
1.0
3.861 0.000 0.000
1.931 3.344 0.000
1.931 1.115 10.371
Lu Br In
1 2 1
Cartesian
0.000 0.000 0.000 Lu
1.931 1.115 7.722 Br
5.792 3.344 2.650 Br
3.861 2.229 5.186 In
```

Results
The value obtained for the uncorrected formation energy is -0.68 eV/atom. The value obtained for the volume is 133.90 Å³/cell.



Density functional theory data (PBE) for crystalline Mg2InBr at its relaxed geometry.

Cell and atoms, written as POSCAR:
```
Mg2InBr
1.0
5.489 -0.077 0.016
-0.274 5.483 0.016
0.484 0.502 3.338
In Mg Br
1 2 1
Cartesian
0.105 2.992 1.677 In
2.607 2.703 0.016 Mg
0.000 0.000 0.000 Mg
2.986 0.212 1.677 Br
```

Results
The calculation puts the polymorph energy (0 for the lowest one) at 0.63 eV per formula unit. The value obtained for the uncorrected formation energy is -0.27 eV/atom. The value obtained for the volume is 100.29 Å³/cell.



Density functional theory data (PBE) for crystalline Mg2InBr at its relaxed geometry.

Cell and atoms, written as POSCAR:
```
Mg2InBr
1.0
-2.174 -0.750 -2.462
1.956 -2.713 0.396
-6.671 -3.781 7.043
Mg In Br
2 1 1
Cartesian
-0.200 -0.113 0.211 Mg
-1.828 -2.706 0.782 Mg
-5.413 -4.738 4.567 In
-2.784 -1.578 2.939 Br
```

Results
The calculation puts the polymorph energy (0 for the lowest one) at 0.54 eV per formula unit. The value obtained for the uncorrected formation energy is -0.29 eV/atom. The value obtained for the volume is 113.37 Å³/cell.



Density functional theory data (PBE) for crystalline MgInBr2 at its relaxed geometry.

Cell and atoms, written as POSCAR:
```
MgInBr2
1.0
-2.004 -2.920 0.041
2.916 -2.003 -0.180
0.431 -0.172 8.909
Br In Mg
2 1 1
Cartesian
0.587 -2.514 2.641 Br
0.397 -0.159 8.205 Br
0.220 -0.088 4.540 In
0.786 -2.594 6.748 Mg
```

Results
The calculation puts the polymorph energy (0 for the lowest one) at 1.26 eV per formula unit. The value obtained for the uncorrected formation energy is -0.60 eV/atom. The value obtained for the volume is 111.93 Å³/cell.



Density functional theory data (PBE) for crystalline Mg2InBr at its relaxed geometry.

Cell and atoms, written as POSCAR:
```
Mg2InBr
1.0
-3.929 4.367 2.370
-4.096 -1.849 4.465
5.995 0.842 -1.863
In Br Mg
1 1 2
Cartesian
-1.007 0.111 2.968 In
-4.305 1.351 3.667 Br
-0.868 3.201 1.873 Mg
-7.886 2.475 6.718 Mg
```

Results
The calculation puts the polymorph energy (0 for the lowest one) at 0.70 eV per formula unit. The value obtained for the uncorrected formation energy is -0.25 eV/atom. The value obtained for the volume is 102.90 Å³/cell.



Density functional theory data (PBE) for crystalline MgInBr6 at its relaxed geometry.

Cell and atoms, written as POSCAR:
```
MgInBr6
1.0
-2.220 6.235 1.506
-3.025 3.771 -4.764
-7.021 1.090 0.452
Mg Br In
1 6 1
Cartesian
0.000 0.000 0.000 Mg
-3.779 4.833 -0.206 Br
-6.726 2.885 -1.545 Br
-8.488 6.262 -2.600 Br
-5.540 8.210 -1.261 Br
-7.191 5.783 1.104 Br
-5.076 5.312 -3.910 Br
-6.133 5.548 -1.403 In
```

Results
The value obtained for the uncorrected formation energy is -0.78 eV/atom. The value obtained for the volume is 236.64 Å³/cell.



Density functional theory data (PBE) for crystalline MgIn2Br at its relaxed geometry.

Cell and atoms, written as POSCAR:
```
MgIn2Br
1.0
5.635 -0.028 0.000
-0.573 5.606 0.000
0.000 0.000 3.453
Br In Mg
1 2 1
Cartesian
-0.286 2.803 1.727 Br
2.531 2.789 0.000 In
0.000 0.000 0.000 In
2.818 -0.014 1.727 Mg
```

Results
The calculation puts the polymorph energy (0 for the lowest one) at 0.62 eV per formula unit. The value obtained for the uncorrected formation energy is -0.19 eV/atom. The value obtained for the volume is 109.05 Å³/cell.



Density functional theory data (PBE) for crystalline MgInBr2 at its relaxed geometry.

Cell and atoms, written as POSCAR:
```
MgInBr2
1.0
3.753 0.000 0.000
0.000 3.751 0.000
0.000 0.000 9.473
In Br Mg
1 2 1
Cartesian
0.000 0.000 4.432 In
1.876 1.875 2.016 Br
0.000 0.000 8.182 Br
1.876 1.875 9.053 Mg
```

Results
The calculation puts the polymorph energy (0 for the lowest one) at 1.03 eV per formula unit. The value obtained for the uncorrected formation energy is -0.66 eV/atom. The value obtained for the volume is 133.34 Å³/cell.



Density functional theory data (PBE) for crystalline MgInBr at its relaxed geometry.

Cell and atoms, written as POSCAR:
```
MgInBr
1.0
-7.883 0.932 -2.326
-6.199 -3.006 -4.578
6.330 -0.333 5.315
In Br Mg
1 1 1
Cartesian
-4.136 -0.609 -2.028 In
-0.783 -0.115 -0.384 Br
-9.164 -1.349 -4.492 Mg
```

Results
The calculation puts the polymorph energy (0 for the lowest one) at 0.31 eV per formula unit. The value obtained for the uncorrected formation energy is -0.42 eV/atom. The value obtained for the volume is 92.61 Å³/cell.



Density functional theory data (PBE) for crystalline Mg2InBr at its relaxed geometry.

Cell and atoms, written as POSCAR:
```
Mg2InBr
1.0
-4.846 -2.768 1.223
-0.085 -4.774 -3.138
4.042 2.109 3.443
Br In Mg
1 1 2
Cartesian
0.746 -3.218 -0.326 Br
-1.635 -2.215 1.855 In
-2.465 -3.771 -0.957 Mg
0.000 0.000 0.000 Mg
```

Results
The calculation puts the polymorph energy (0 for the lowest one) at 1.38 eV per formula unit. The value obtained for the uncorrected formation energy is -0.08 eV/atom. The value obtained for the volume is 105.28 Å³/cell.



Density functional theory data (PBE) for crystalline Mg3In2Br8 at its relaxed geometry.

Cell and atoms, written as POSCAR:
```
Mg3In2Br8
1.0
-3.546 5.889 -1.031
-0.392 -1.610 -7.850
-5.200 -4.997 5.384
Br In Mg
8 2 3
Cartesian
-6.418 -0.659 2.645 Br
-2.511 0.801 -1.949 Br
-4.665 3.547 -4.595 Br
-4.222 4.167 -0.644 Br
-4.474 -4.265 1.098 Br
-2.720 -0.059 -6.142 Br
-6.628 -1.519 -1.547 Br
-4.917 -4.885 -2.853 Br
-4.116 -1.145 0.440 In
-5.022 0.427 -3.937 In
-0.101 -0.415 -2.023 Mg
-0.291 -1.195 -5.828 Mg
-1.773 2.945 -0.515 Mg
```

Results
The value obtained for the uncorrected formation energy is -1.21 eV/atom. The value obtained for the volume is 429.35 Å³/cell.



Density functional theory data (PBE) for crystalline MgIn2Br at its relaxed geometry.

Cell and atoms, written as POSCAR:
```
MgIn2Br
1.0
-1.070 -3.925 4.892
4.386 -0.501 4.582
-3.074 4.616 -3.118
Mg In Br
1 2 1
Cartesian
1.658 -2.213 4.737 Mg
1.485 0.951 3.100 In
0.000 0.000 0.000 In
-1.243 -0.761 3.255 Br
```

Results
The calculation puts the polymorph energy (0 for the lowest one) at 0.86 eV per formula unit. The value obtained for the uncorrected formation energy is -0.13 eV/atom. The value obtained for the volume is 114.06 Å³/cell.



Density functional theory data (PBE) for crystalline Mg2InBr at its relaxed geometry.

Cell and atoms, written as POSCAR:
```
Mg2InBr
1.0
1.749 3.170 3.925
-2.741 0.352 4.569
1.982 -2.136 4.474
Mg Br In
2 1 1
Cartesian
0.742 1.040 9.726 Mg
0.247 0.347 3.242 Mg
0.000 0.000 0.000 Br
0.495 0.693 6.484 In
```

Results
The calculation puts the polymorph energy (0 for the lowest one) at 1.57 eV per formula unit. The value obtained for the uncorrected formation energy is -0.03 eV/atom. The value obtained for the volume is 107.65 Å³/cell.



Density functional theory data (PBE) for crystalline Mg2InBr2 at its relaxed geometry.

Cell and atoms, written as POSCAR:
```
Mg2InBr2
1.0
6.406 2.589 0.454
3.544 -0.328 5.939
-3.685 -4.157 -4.133
Br Mg In
2 2 1
Cartesian
2.417 -1.677 2.501 Br
3.848 -0.218 -0.241 Br
6.163 1.401 3.960 Mg
3.787 0.861 2.433 Mg
0.000 0.000 0.000 In
```

Results
The value obtained for the uncorrected formation energy is -0.50 eV/atom. The value obtained for the volume is 140.84 Å³/cell.



Density functional theory data (PBE) for crystalline MgIn2Br at its relaxed geometry.

Cell and atoms, written as POSCAR:
```
MgIn2Br
1.0
-7.283 -2.164 0.720
3.707 0.540 4.262
-1.703 2.560 1.637
Mg Br In
1 1 2
Cartesian
1.002 1.550 2.950 Mg
-1.788 -0.812 2.491 Br
0.000 0.000 0.000 In
-4.493 0.198 1.178 In
```

Results
The calculation puts the polymorph energy (0 for the lowest one) at 0.61 eV per formula unit. The value obtained for the uncorrected formation energy is -0.19 eV/atom. The value obtained for the volume is 109.35 Å³/cell.



Density functional theory data (PBE) for crystalline Mg2InBr at its relaxed geometry.

Cell and atoms, written as POSCAR:
```
Mg2InBr
1.0
-2.405 2.304 1.636
-2.706 -2.497 -0.462
1.748 -3.205 7.086
In Mg Br
1 2 1
Cartesian
-1.105 -2.756 6.466 In
0.023 -0.042 0.094 Mg
-2.129 -0.879 2.318 Mg
0.722 -1.323 2.925 Br
```

Results
The calculation puts the polymorph energy (0 for the lowest one) at 0.42 eV per formula unit. The value obtained for the uncorrected formation energy is -0.32 eV/atom. The value obtained for the volume is 109.78 Å³/cell.



Density functional theory data (PBE) for crystalline Mg2InBr at its relaxed geometry.

Cell and atoms, written as POSCAR:
```
Mg2InBr
1.0
6.201 0.037 -0.044
5.274 3.263 -0.044
2.891 0.832 5.166
Br Mg In
1 2 1
Cartesian
10.775 3.099 3.808 Br
7.054 2.029 2.632 Mg
3.021 0.869 5.072 Mg
3.592 1.033 1.269 In
```

Results
The calculation puts the polymorph energy (0 for the lowest one) at 0.78 eV per formula unit. The value obtained for the uncorrected formation energy is -0.23 eV/atom. The value obtained for the volume is 103.97 Å³/cell.